Tb2TiTl | PBE | relaxed

final energy = -4.88 eV/atom
energy above the lowest structure with this stoichiometry = 22 meV/atom
D(E_F) = 4.89 states/eV/cell
space-group type = Fm-3m

Lattice parameters (Å, degrees): 5.294 5.294 5.294 60.00 60.00 60.00
Atoms (fractional coordinates):
Tb 0.250 0.250 0.250
Tb 0.750 0.750 0.750
Ti 0.000 0.000 0.000
Tl 0.500 0.500 0.500

---

Tb2TiTl | PBE | relaxed

final energy = -4.89 eV/atom
energy above the lowest structure with this stoichiometry = 10 meV/atom
D(E_F) = 5.95 states/eV/cell
space-group type = P4/mmm

Lattice parameters (Å, degrees): 3.533 3.533 8.412 90.00 90.00 90.00
Atoms (fractional coordinates):
Tb 0.000 0.000 0.242
Tb 0.000 0.000 0.758
Ti 0.500 0.500 0.000
Tl 0.500 0.500 0.500

---

TbTiTlZn | PBE | relaxed

final energy = -4.11 eV/atom
D(E_F) = 2.45 states/eV/cell
space-group type = F-43m

Lattice parameters (Å, degrees): 4.959 4.959 4.959 60.00 60.00 60.00
Atoms (fractional coordinates):
Tb 0.000 0.000 0.000
Ti 0.500 0.500 0.500
Tl 0.250 0.250 0.250
Zn 0.750 0.750 0.750

---

TbTmTi | PBE | relaxed

final energy = -5.44 eV/atom
D(E_F) = 4.30 states/eV/cell
space-group type = P-6m2

Lattice parameters (Å, degrees): 5.238 5.238 3.293 90.00 90.00 120.00
Atoms (fractional coordinates):
Tb 0.000 0.000 0.000
Tm 0.333 0.667 0.500
Ti 0.667 0.333 0.500

---

TbTmTi4 | PBE | relaxed

final energy = -6.54 eV/atom
D(E_F) = 7.41 states/eV/cell
space-group type = F-43m

Lattice parameters (Å, degrees): 5.791 5.791 5.791 60.00 60.00 60.00
Atoms (fractional coordinates):
Tb 0.000 0.000 0.000
Tm 0.250 0.250 0.250
Ti 0.127 0.624 0.624
Ti 0.624 0.127 0.624
Ti 0.624 0.624 0.127
Ti 0.624 0.624 0.624

---

TbTiV4 | PBE | relaxed

final energy = -7.89 eV/atom
D(E_F) = 10.88 states/eV/cell
space-group type = F-43m

Lattice parameters (Å, degrees): 5.192 5.192 5.192 60.00 60.00 60.00
Atoms (fractional coordinates):
Tb 0.000 0.000 0.000
Ti 0.250 0.250 0.250
V 0.126 0.625 0.625
V 0.625 0.126 0.625
V 0.625 0.625 0.126
V 0.625 0.625 0.625

---

TbTiW4 | PBE | relaxed

final energy = -10.58 eV/atom
D(E_F) = 5.13 states/eV/cell
space-group type = F-43m

Lattice parameters (Å, degrees): 5.426 5.426 5.426 60.00 60.00 60.00
Atoms (fractional coordinates):
Tb 0.000 0.000 0.000
Ti 0.750 0.750 0.750
W 0.375 0.375 0.375
W 0.375 0.375 0.875
W 0.375 0.875 0.375
W 0.875 0.375 0.375

---

TbYTi4 | PBE | relaxed

final energy = -6.87 eV/atom
D(E_F) = 6.79 states/eV/cell
space-group type = F-43m

Lattice parameters (Å, degrees): 5.818 5.818 5.818 60.00 60.00 60.00
Atoms (fractional coordinates):
Tb 0.000 0.000 0.000
Y 0.250 0.250 0.250
Ti 0.125 0.625 0.625
Ti 0.625 0.125 0.625
Ti 0.625 0.625 0.125
Ti 0.625 0.625 0.625

---

TbTiZn2 | PBE | relaxed

final energy = -3.97 eV/atom
D(E_F) = 3.88 states/eV/cell
space-group type = P4/mmm

Lattice parameters (Å, degrees): 3.344 3.344 6.787 90.00 90.00 90.00
Atoms (fractional coordinates):
Tb 0.000 0.000 0.000
Ti 0.000 0.000 0.500
Zn 0.500 0.500 0.293
Zn 0.500 0.500 0.707

---

Tb2TiZn | PBE | relaxed

final energy = -4.63 eV/atom
energy above the lowest structure with this stoichiometry = 0 meV/atom
D(E_F) = 4.37 states/eV/cell
space-group type = P4/mmm

Lattice parameters (Å, degrees): 3.375 3.375 8.280 90.00 90.00 90.00
Atoms (fractional coordinates):
Tb 0.000 0.000 0.242
Tb 0.000 0.000 0.758
Ti 0.500 0.500 0.500
Zn 0.500 0.500 0.000

---

TbTiZn2 | PBE | relaxed

final energy = -3.72 eV/atom
D(E_F) = 3.72 states/eV/cell
space-group type = R-3m

Lattice parameters (Å, degrees): 8.934 8.934 8.934 21.21 21.21 21.21
Atoms (fractional coordinates):
Tb 0.000 0.000 0.000
Ti 0.500 0.500 0.500
Zn 0.241 0.241 0.241
Zn 0.759 0.759 0.759

---

Tb2TiZn | PBE | relaxed

final energy = -4.23 eV/atom
energy above the lowest structure with this stoichiometry = 402 meV/atom
D(E_F) = 6.04 states/eV/cell
space-group type = R-3m

Lattice parameters (Å, degrees): 10.993 10.993 10.993 17.15 17.15 17.15
Atoms (fractional coordinates):
Tb 0.092 0.092 0.092
Tb 0.908 0.908 0.908
Ti 0.000 0.000 0.000
Zn 0.500 0.500 0.500